No. 1
Below is a relaxed structure of LiPm2BPt6, with properties calculated at the PBE level.

energy of formation from the pure elements	-783	kJ/mol of formula units

The structure in CIF format:
```
data_LiPm2BPt6
_chemical_formula_sum 'Li2 Pm4 B2 Pt12'
_cell_length_a 5.627
_cell_length_b 8.739
_cell_length_c 7.393
_cell_angle_alpha 90.00
_cell_angle_beta 90.00
_cell_angle_gamma 90.00
_symmetry_space_group_name_H-M 'P m m n'
_symmetry_Int_Tables_number 59
loop_
_symmetry_equiv_pos_as_xyz
'x,y,z'
'-x,-y,-z'
'-x+1/2,-y+1/2,z'
'x+1/2,y+1/2,-z'
'x+1/2,-y,-z'
'-x+1/2,y,z'
'-x,y+1/2,-z'
'x,-y+1/2,z'
loop_
_atom_site_label
_atom_site_type_symbol
_atom_site_fract_x
_atom_site_fract_y
_atom_site_fract_z
Li1 Li 0.250 0.250 0.189
Pm1 Pm 0.250 0.534 0.791
B1 B 0.250 0.750 0.300
Pt1 Pt 0.001 0.750 0.088
Pt2 Pt 0.010 0.250 0.488
Pt3 Pt 0.250 0.504 0.376
```

No. 2
Below is a relaxed structure of LiPm3B2Pt9, with properties calculated at the PBE level.

energy of formation from the pure elements	-1030	kJ/mol of formula units

The structure in CIF format:
```
data_LiPm3B2Pt9
_chemical_formula_sum 'Li1 Pm3 B2 Pt9'
_cell_length_a 6.5661
_cell_length_b 6.5661
_cell_length_c 6.9565
_cell_angle_alpha 90.00
_cell_angle_beta 90.00
_cell_angle_gamma 120.00
_symmetry_space_group_name_H-M 'P -3 m 1'
_symmetry_Int_Tables_number 164
_symmetry_space_group_name_Hall '-P 3 2"'
loop_
_atom_site_label
_atom_site_type_symbol
_atom_site_fract_x
_atom_site_fract_y
_atom_site_fract_z
Li1 Li 0.0000 0.0000 0.0000
Pm1 Pm 0.0000 0.0000 0.5000
Pm2 Pm 0.3333 0.6667 0.1685
B1 B 0.3333 0.6667 0.6583
Pt1 Pt 0.0000 0.5000 0.5000
Pt2 Pt 0.1778 0.3556 0.8276
```

- Number 2 is which compound?
  LiPm3B2Pt9